{
  "formula": "Dy2Ni2B2CN",
  "functional": "PBE",
  "state": "optimized geometry",
  "crystal_system": "tetragonal",
  "energy_ev_per_cell": -57.8,
  "space_group": "P4mm (99)",
  "total_magnetization_mub_per_atom": 0.001,
  "lattice": [[3.5362, 0.0000, 0.0000], [0.0000, 3.5362, 0.0000], [0.0000, 0.0000, 7.5235]],
  "species": ["Dy", "Dy", "Ni", "Ni", "B", "B", "C", "N"],
  "frac_coords": [[0.0000, 0.0000, 0.0000], [0.5000, 0.5000, 0.3304], [0.0000, 0.5000, 0.6589], [0.5000, 0.0000, 0.6589], [0.0000, 0.0000, 0.5066], [0.5000, 0.5000, 0.8140], [0.5000, 0.5000, 0.0130], [0.0000, 0.0000, 0.3136]]
}